Record 1
ScIrRh2 | PBE | relaxed

Formation energy from the elements in meV/atom: -285
ρ in Mg/m³: 11.68

```
data_ScIrRh2
_cell_length_a 6.316
_cell_length_b 6.316
_cell_length_c 6.316
_cell_angle_alpha 90.00
_cell_angle_beta 90.00
_cell_angle_gamma 90.00
_symmetry_space_group_name_H-M 'F -4 3 m'
_symmetry_Int_Tables_number 216
_symmetry_space_group_name_Hall 'F -4 2 3'
loop_
_atom_site_label
_atom_site_fract_x
_atom_site_fract_y
_atom_site_fract_z
Sc1 0.000 0.000 0.000
Ir1 0.250 0.250 0.750
Rh1 0.000 0.000 0.500
Rh2 0.250 0.250 0.250
```

Record 2
NbSCl3 | PBE | relaxed

Uncorrected formation energy in eV/atom: 0.753
ρ in Mg/m³: 3.22

```
data_NbSCl3
_cell_length_a 4.921
_cell_length_b 4.921
_cell_length_c 4.921
_cell_angle_alpha 90.00
_cell_angle_beta 90.00
_cell_angle_gamma 90.00
_symmetry_space_group_name_H-M 'P m -3 m'
_symmetry_Int_Tables_number 221
_symmetry_space_group_name_Hall '-P 4 2 3'
loop_
_atom_site_label
_atom_site_fract_x
_atom_site_fract_y
_atom_site_fract_z
Nb1 0.000 0.000 0.000
S1 0.500 0.500 0.500
Cl1 0.000 0.500 0.500
```

Record 3
TmTh3Au4 | PBE | relaxed

Formation energy from the elements in meV/atom: -641
ρ in Mg/m³: 13.88

```
data_TmTh3Au4
_cell_length_a 3.550
_cell_length_b 3.550
_cell_length_c 15.689
_cell_angle_alpha 90.00
_cell_angle_beta 90.00
_cell_angle_gamma 90.00
_symmetry_space_group_name_H-M 'P 4/m m m'
_symmetry_Int_Tables_number 123
_symmetry_space_group_name_Hall '-P 4 2'
loop_
_atom_site_label
_atom_site_fract_x
_atom_site_fract_y
_atom_site_fract_z
Tm1 0.000 0.000 0.000
Th1 0.000 0.000 0.242
Th2 0.000 0.000 0.500
Au1 0.500 0.500 0.107
Au2 0.500 0.500 0.370
```

Record 4
Ce2TmSi3Pt12 | PBE | relaxed

Uncorrected formation energy in eV/atom: -0.587
ρ in Mg/m³: 13.45

```
data_Ce2TmSi3Pt12
_cell_length_a 8.3269
_cell_length_b 8.3269
_cell_length_c 17.7337
_cell_angle_alpha 90.00
_cell_angle_beta 90.00
_cell_angle_gamma 120.00
_symmetry_space_group_name_H-M 'R -3 m'
_symmetry_Int_Tables_number 166
_symmetry_space_group_name_Hall '-R 3 2"'
loop_
_atom_site_label
_atom_site_fract_x
_atom_site_fract_y
_atom_site_fract_z
Ce1 0.0000 0.0000 0.1009
Tm1 0.0000 0.0000 0.5000
Si1 0.0000 0.5000 0.0000
Pt1 0.0298 0.5149 0.3682
Pt2 0.0323 0.5161 0.8663
```

Record 5
Ni2MoPb | PBE | relaxed

Formation energy from the elements in meV/atom: 652
ρ in Mg/m³: 10.41

```
data_Ni2MoPb
_cell_length_a 6.951
_cell_length_b 6.951
_cell_length_c 5.552
_cell_angle_alpha 90.00
_cell_angle_beta 90.00
_cell_angle_gamma 90.00
_symmetry_space_group_name_H-M 'I -4 2 d'
_symmetry_Int_Tables_number 122
_symmetry_space_group_name_Hall 'I -4 2bw'
loop_
_atom_site_label
_atom_site_fract_x
_atom_site_fract_y
_atom_site_fract_z
Ni1 0.227 0.250 0.125
Mo1 0.000 0.000 0.000
Pb1 0.000 0.000 0.500
```

Record 6
MnFe3Pt6 | PBE | relaxed

Formation energy from the elements in meV/atom: -218
ρ in Mg/m³: 15.84

```
data_MnFe3Pt6
_cell_length_a 7.266
_cell_length_b 4.476
_cell_length_c 9.534
_cell_angle_alpha 90.00
_cell_angle_beta 109.58
_cell_angle_gamma 90.00
_symmetry_space_group_name_H-M 'P 1 21/m 1'
_symmetry_Int_Tables_number 11
loop_
_symmetry_equiv_pos_as_xyz
'x,y,z'
'-x,-y,-z'
'-x,y+1/2,-z'
'x,-y+1/2,z'
loop_
_atom_site_label
_atom_site_fract_x
_atom_site_fract_y
_atom_site_fract_z
Mn1 0.106 0.250 0.074
Fe1 0.103 0.750 0.729
Fe2 0.294 0.750 0.535
Fe3 0.309 0.250 0.865
Pt1 0.081 0.750 0.226
Pt2 0.105 0.250 0.570
Pt3 0.286 0.750 0.023
Pt4 0.296 0.250 0.366
Pt5 0.494 0.750 0.331
Pt6 0.494 0.750 0.832
```

Record 7
Sr12Tl3H5 | PBE | relaxed

Energy in eV/atom: -2.49
ρ in Mg/m³: 4.15

```
data_Sr12Tl3H5
_cell_length_a 17.478
_cell_length_b 17.478
_cell_length_c 17.478
_cell_angle_alpha 90.00
_cell_angle_beta 90.00
_cell_angle_gamma 90.00
_symmetry_space_group_name_H-M 'I a -3 d'
_symmetry_Int_Tables_number 230
_symmetry_space_group_name_Hall '-I 4bd 2c 3'
loop_
_atom_site_label
_atom_site_fract_x
_atom_site_fract_y
_atom_site_fract_z
Sr1 0.037 0.055 0.654
Tl1 0.000 0.250 0.125
H1 0.000 0.000 0.000
H2 0.000 0.250 0.375
```

Record 8
BaTaCd2 | PBE | relaxed

Formation energy from the elements in meV/atom: 770
ρ in Mg/m³: 8.40

```
data_BaTaCd2
_cell_length_a 4.605
_cell_length_b 4.605
_cell_length_c 10.120
_cell_angle_alpha 90.00
_cell_angle_beta 90.00
_cell_angle_gamma 90.00
_symmetry_space_group_name_H-M 'I -4 m 2'
_symmetry_Int_Tables_number 119
_symmetry_space_group_name_Hall 'I -4 -2'
loop_
_atom_site_label
_atom_site_fract_x
_atom_site_fract_y
_atom_site_fract_z
Ba1 0.000 0.000 0.000
Ta1 0.000 0.500 0.250
Cd1 0.000 0.000 0.500
Cd2 0.000 0.500 0.750
```

Record 9
Mg2ZnSb | PBE | relaxed

Uncorrected formation energy in eV/atom: -0.100
ρ in Mg/m³: 4.35

```
data_Mg2ZnSb
_cell_length_a 8.770
_cell_length_b 3.312
_cell_length_c 6.319
_cell_angle_alpha 90.00
_cell_angle_beta 101.34
_cell_angle_gamma 90.00
_symmetry_space_group_name_H-M 'C 1 2/m 1'
_symmetry_Int_Tables_number 12
loop_
_symmetry_equiv_pos_as_xyz
'x,y,z'
'-x,-y,-z'
'-x,y,-z'
'x,-y,z'
'x+1/2,y+1/2,z'
'-x+1/2,-y+1/2,-z'
'-x+1/2,y+1/2,-z'
'x+1/2,-y+1/2,z'
loop_
_atom_site_label
_atom_site_fract_x
_atom_site_fract_y
_atom_site_fract_z
Mg1 0.244 0.000 0.218
Zn1 0.000 0.500 0.000
Sb1 0.000 0.000 0.500
```

Record 10
Ho2Al4CuIr3 | PBE | relaxed

Formation energy from the elements in meV/atom: -764
ρ in Mg/m³: 10.04

```
data_Ho2Al4CuIr3
_cell_length_a 4.022
_cell_length_b 4.022
_cell_length_c 11.022
_cell_angle_alpha 90.00
_cell_angle_beta 90.00
_cell_angle_gamma 90.00
_symmetry_space_group_name_H-M 'P -4 m 2'
_symmetry_Int_Tables_number 115
loop_
_symmetry_equiv_pos_as_xyz
'x,y,z'
'y,-x,-z'
'-x,-y,z'
'-y,x,-z'
'-x,y,z'
'-y,-x,-z'
'x,-y,z'
'y,x,-z'
loop_
_atom_site_label
_atom_site_fract_x
_atom_site_fract_y
_atom_site_fract_z
Ho1 0.000 0.500 0.243
Al1 0.000 0.000 0.000
Al2 0.000 0.500 0.630
Al3 0.500 0.500 0.000
Cu1 0.000 0.000 0.500
Ir1 0.000 0.500 0.858
Ir2 0.500 0.500 0.500
```

Record 11
TlAsSe2 | PBE | relaxed

Uncorrected formation energy in eV/atom: -0.226
ρ in Mg/m³: 6.16

```
data_TlAsSe2
_cell_length_a 3.876
_cell_length_b 4.228
_cell_length_c 7.502
_cell_angle_alpha 83.27
_cell_angle_beta 75.09
_cell_angle_gamma 89.97
_symmetry_space_group_name_H-M 'P 1'
_symmetry_Int_Tables_number 1
loop_
_symmetry_equiv_pos_as_xyz
'x,y,z'
loop_
_atom_site_label
_atom_site_fract_x
_atom_site_fract_y
_atom_site_fract_z
Tl1 0.000 0.000 0.000
As1 0.246 0.427 0.511
Se1 0.409 0.475 0.182
Se2 0.708 0.785 0.587
```

Record 12
Co2PbAu | PBE | relaxed

Formation energy from the elements in meV/atom: 315
ρ in Mg/m³: 12.52

```
data_Co2PbAu
_cell_length_a 3.080
_cell_length_b 3.080
_cell_length_c 7.301
_cell_angle_alpha 90.00
_cell_angle_beta 90.00
_cell_angle_gamma 90.00
_symmetry_space_group_name_H-M 'P 4 m m'
_symmetry_Int_Tables_number 99
loop_
_symmetry_equiv_pos_as_xyz
'x,y,z'
'-y,x,z'
'-x,-y,z'
'y,-x,z'
'-x,y,z'
'y,x,z'
'x,-y,z'
'-y,-x,z'
loop_
_atom_site_label
_atom_site_fract_x
_atom_site_fract_y
_atom_site_fract_z
Co1 0.000 0.000 0.000
Co2 0.500 0.500 0.145
Pb1 0.000 0.000 0.428
Au1 0.500 0.500 0.771
```

Copy entry 7 word for word.
Sr12Tl3H5 | PBE | relaxed

Energy in eV/atom: -2.49
ρ in Mg/m³: 4.15

```
data_Sr12Tl3H5
_cell_length_a 17.478
_cell_length_b 17.478
_cell_length_c 17.478
_cell_angle_alpha 90.00
_cell_angle_beta 90.00
_cell_angle_gamma 90.00
_symmetry_space_group_name_H-M 'I a -3 d'
_symmetry_Int_Tables_number 230
_symmetry_space_group_name_Hall '-I 4bd 2c 3'
loop_
_atom_site_label
_atom_site_fract_x
_atom_site_fract_y
_atom_site_fract_z
Sr1 0.037 0.055 0.654
Tl1 0.000 0.250 0.125
H1 0.000 0.000 0.000
H2 0.000 0.250 0.375
```

Question: What is the ρ in the third record?
Answer: 13.88 Mg/m³